! TcHgTe (PBE, relaxed); values from VASP
! Electronic total energy (eV/atom): -3.99
! Formation energy without anion corrections (eV per atom): 0.61
! Magnetic moment (Bohr magnetons per cell): 0.00
! Volume (Å³/cell): 64.92
&SYSTEM
  ibrav = 0, nat = 3, ntyp = 3
/
ATOMIC_SPECIES
Tc 98.00 Tc.upf
Hg 200.59 Hg.upf
Te 127.60 Te.upf
ATOMIC_POSITIONS angstrom
Tc 0.0000 0.0000 0.0000
Hg 0.0000 2.6060 1.8447
Te 2.2569 1.3030 0.0051
CELL_PARAMETERS angstrom
4.5137 0.0000 0.0000
-2.2569 3.9090 0.0000
0.0000 0.0000 3.6792

---

! KRbOsBr6 (PBE, relaxed); values from VASP
! Electronic total energy (eV/atom): -3.42
! Formation energy without anion corrections (eV per atom): -0.82
! Magnetic moment (Bohr magnetons per cell): 4.00
! Volume (Å³/cell): 704.62
&SYSTEM
  ibrav = 0, nat = 18, ntyp = 4
/
ATOMIC_SPECIES
K 39.10 K.upf
Rb 85.47 Rb.upf
Os 190.23 Os.upf
Br 79.90 Br.upf
ATOMIC_POSITIONS angstrom
K 0.0000 4.6076 3.1937
K 3.9903 2.3038 9.5811
Rb 0.0000 0.0000 0.0000
Rb 0.0000 0.0000 6.3874
Os 0.0000 4.6076 9.5811
Os 3.9903 2.3038 3.1937
Br -1.0499 2.8549 8.1199
Br -2.0429 4.5747 11.0424
Br 1.0499 2.8549 11.0424
Br -0.9929 6.3932 8.1199
Br 2.9974 0.5182 1.7325
Br 1.9474 2.3367 4.6550
Br 2.0429 4.5747 8.1199
Br 0.9929 6.3932 11.0424
Br 4.9832 0.5182 4.6550
Br 2.9404 4.0565 1.7325
Br 6.0332 2.3367 1.7325
Br 5.0402 4.0565 4.6550
CELL_PARAMETERS angstrom
7.9806 0.0000 0.0000
-3.9903 6.9114 0.0000
0.0000 0.0000 12.7749

---

! Mo3SeCl (PBE, relaxed); values from VASP
! Electronic total energy (eV/atom): -6.36
! Formation energy without anion corrections (eV per atom): 1.20
! Magnetic moment (Bohr magnetons per cell): 0.00
! Volume (Å³/cell): 88.81
&SYSTEM
  ibrav = 0, nat = 5, ntyp = 3
/
ATOMIC_SPECIES
Mo 95.94 Mo.upf
Se 78.96 Se.upf
Cl 35.45 Cl.upf
ATOMIC_POSITIONS angstrom
Mo 0.0000 0.0000 2.2308
Mo 0.0000 2.2308 0.0000
Mo 2.2308 0.0000 0.0000
Se 2.2308 2.2308 2.2308
Cl 0.0000 0.0000 0.0000
CELL_PARAMETERS angstrom
4.4615 0.0000 0.0000
0.0000 4.4615 0.0000
0.0000 0.0000 4.4615

---

! CaAlI3 (PBE, relaxed); values from VASP
! Electronic total energy (eV/atom): -2.81
! Formation energy without anion corrections (eV per atom): -0.73
! Magnetic moment (Bohr magnetons per cell): 0.00
! Volume (Å³/cell): 227.42
&SYSTEM
  ibrav = 0, nat = 5, ntyp = 3
/
ATOMIC_SPECIES
Ca 40.08 Ca.upf
Al 26.98 Al.upf
I 126.90 I.upf
ATOMIC_POSITIONS angstrom
Ca 0.0000 0.0000 0.0000
Al 3.0519 3.0519 3.0519
I 0.0000 0.0000 3.0519
I 0.0000 3.0519 0.0000
I 3.0519 0.0000 0.0000
CELL_PARAMETERS angstrom
6.1039 0.0000 0.0000
0.0000 6.1039 0.0000
0.0000 0.0000 6.1039

---

! LaPrN (PBE, relaxed); values from VASP
! Electronic total energy (eV/atom): -6.77
! Formation energy without anion corrections (eV per atom): -0.76
! Magnetic moment (Bohr magnetons per cell): 0.00
! Volume (Å³/cell): 338.96
&SYSTEM
  ibrav = 0, nat = 12, ntyp = 3
/
ATOMIC_SPECIES
La 138.91 La.upf
Pr 140.91 Pr.upf
N 14.01 N.upf
ATOMIC_POSITIONS angstrom
La -0.1728 1.2025 2.4851
La -1.4291 2.3442 5.6945
La 6.3612 4.7492 0.7243
La 5.1049 5.8909 3.9337
Pr 0.9789 4.7133 4.2830
Pr 2.2352 5.9268 1.0736
Pr 2.6969 1.1666 5.3451
Pr 3.9532 2.3801 2.1357
N -1.3380 4.7794 5.7905
N -0.0817 5.8607 2.5811
N 5.0138 1.2327 3.8377
N 6.2701 2.3140 0.6283
CELL_PARAMETERS angstrom
7.4447 0.0000 0.0000
0.0000 7.0934 0.0000
-2.5126 0.0000 6.4188

---

! CrMo3W6 (PBE, relaxed); values from VASP
! DFT formation energy (eV per atom): 0.008
! Electronic total energy (eV/atom): -11.98
! Magnetic moment (Bohr magnetons per cell): 0.00
! Volume (Å³/cell): 313.20
&SYSTEM
  ibrav = 0, nat = 20, ntyp = 3
/
ATOMIC_SPECIES
Cr 52.00 Cr.upf
Mo 95.94 Mo.upf
W 183.84 W.upf
ATOMIC_POSITIONS angstrom
Cr -0.6529 1.1158 3.6581
Cr 5.8134 3.3475 5.4300
Mo -0.6343 1.1158 9.0880
Mo 0.6387 3.3475 7.2509
Mo 1.9254 1.1158 5.4394
Mo 3.2352 3.3475 3.6487
Mo 4.5218 1.1158 1.8372
Mo 5.7948 3.3475 0.0000
W -1.9128 3.3475 8.1491
W -0.6534 1.1158 6.3043
W 0.6319 3.3475 1.8446
W 0.5934 3.3475 4.5449
W 1.9149 1.1158 2.7497
W 3.2236 3.3475 0.9160
W 1.9369 1.1158 8.1721
W 3.2456 3.3475 6.3383
W 4.5671 1.1158 4.5432
W 4.5286 1.1158 7.2435
W 5.8140 3.3475 2.7837
W 7.0733 1.1158 0.9390
CELL_PARAMETERS angstrom
7.7214 0.0000 0.0000
0.0000 4.4633 0.0000
-2.5608 0.0000 9.0881

---

! PIr2Os (PBE, relaxed); values from VASP
! DFT formation energy (eV per atom): 0.350
! Electronic total energy (eV/atom): -8.24
! Magnetic moment (Bohr magnetons per cell): 0.00
! Volume (Å³/cell): 56.57
&SYSTEM
  ibrav = 0, nat = 4, ntyp = 3
/
ATOMIC_SPECIES
P 30.97 P.upf
Ir 192.22 Ir.upf
Os 190.23 Os.upf
ATOMIC_POSITIONS angstrom
P 0.0000 0.0000 0.0000
Ir 1.9777 0.0000 1.8081
Ir 0.0000 0.0000 3.6161
Os 0.0000 1.9777 1.8081
CELL_PARAMETERS angstrom
-1.9777 1.9777 3.6161
1.9777 -1.9777 3.6161
1.9777 1.9777 -3.6161

---

! AlPI2O (PBE, relaxed); values from VASP
! Electronic total energy (eV/atom): -3.75
! Formation energy without anion corrections (eV per atom): -0.31
! Magnetic moment (Bohr magnetons per cell): 0.00
! Volume (Å³/cell): 111.45
&SYSTEM
  ibrav = 0, nat = 5, ntyp = 4
/
ATOMIC_SPECIES
Al 26.98 Al.upf
P 30.97 P.upf
I 126.90 I.upf
O 16.00 O.upf
ATOMIC_POSITIONS angstrom
Al 0.0000 0.0000 0.0000
P 2.8357 2.8357 1.7324
I 0.0000 2.8357 0.0000
I 2.8357 0.0000 0.0000
O 0.0000 0.0000 1.7324
CELL_PARAMETERS angstrom
5.6715 0.0000 0.0000
0.0000 5.6715 0.0000
0.0000 0.0000 3.4648

---

! Li2HgGePt (PBE, relaxed); values from VASP
! DFT formation energy (eV per atom): -0.247
! Electronic total energy (eV/atom): -3.20
! Magnetic moment (Bohr magnetons per cell): 0.00
! Volume (Å³/cell): 110.97
&SYSTEM
  ibrav = 0, nat = 5, ntyp = 4
/
ATOMIC_SPECIES
Li 6.94 Li.upf
Hg 200.59 Hg.upf
Ge 72.64 Ge.upf
Pt 195.08 Pt.upf
ATOMIC_POSITIONS angstrom
Li 0.0000 2.4351 0.0000
Li 2.4351 0.0000 0.0000
Hg 0.0000 0.0000 2.3393
Ge 2.4351 2.4351 2.3393
Pt 2.4351 2.4351 0.0000
CELL_PARAMETERS angstrom
4.8702 0.0000 0.0000
0.0000 4.8702 0.0000
0.0000 0.0000 4.6786

---

! CsMnSi3 (PBE, relaxed); values from VASP
! Electronic total energy (eV/atom): -4.88
! Formation energy without anion corrections (eV per atom): 0.38
! Magnetic moment (Bohr magnetons per cell): 0.00
! Volume (Å³/cell): 98.25
&SYSTEM
  ibrav = 0, nat = 5, ntyp = 3
/
ATOMIC_SPECIES
Cs 132.91 Cs.upf
Mn 54.94 Mn.upf
Si 28.09 Si.upf
ATOMIC_POSITIONS angstrom
Cs 0.0000 0.0000 0.0000
Mn 2.3072 2.3072 2.3072
Si 0.0000 2.3072 2.3072
Si 2.3072 0.0000 2.3072
Si 2.3072 2.3072 0.0000
CELL_PARAMETERS angstrom
4.6144 0.0000 0.0000
0.0000 4.6144 0.0000
0.0000 0.0000 4.6144

---

! Tb6Sm2Ho3 (PBE, relaxed); values from VASP
! DFT formation energy (eV per atom): 0.016
! Electronic total energy (eV/atom): -4.62
! Magnetic moment (Bohr magnetons per cell): 0.00
! Volume (Å³/cell): 350.79
&SYSTEM
  ibrav = 0, nat = 11, ntyp = 3
/
ATOMIC_SPECIES
Tb 158.93 Tb.upf
Sm 150.36 Sm.upf
Ho 164.93 Ho.upf
ATOMIC_POSITIONS angstrom
Tb 0.0000 0.0000 8.6285
Tb 0.0000 0.0000 17.4055
Tb 0.0000 0.0000 34.7969
Tb 0.0000 0.0000 60.9674
Tb 0.0000 0.0000 78.3588
Tb 0.0000 0.0000 87.1358
Sm 0.0000 0.0000 43.4944
Sm 0.0000 0.0000 52.2699
Ho 0.0000 0.0000 0.0000
Ho 0.0000 0.0000 26.1665
Ho 0.0000 0.0000 69.5978
CELL_PARAMETERS angstrom
1.7811 1.0283 31.9214
-1.7811 1.0283 31.9214
0.0000 -2.0566 31.9214

---

! ZnCuP (PBE, relaxed); values from VASP
! DFT formation energy (eV per atom): 0.119
! Electronic total energy (eV/atom): -3.47
! Magnetic moment (Bohr magnetons per cell): 0.00
! Volume (Å³/cell): 45.99
&SYSTEM
  ibrav = 0, nat = 3, ntyp = 3
/
ATOMIC_SPECIES
Zn 65.41 Zn.upf
Cu 63.55 Cu.upf
P 30.97 P.upf
ATOMIC_POSITIONS angstrom
Zn 0.0000 0.0000 0.0000
Cu 0.0000 2.2305 1.8101
P 1.9316 1.1152 1.7728
CELL_PARAMETERS angstrom
3.8633 0.0000 0.0000
-1.9316 3.3457 0.0000
0.0000 0.0000 3.5582